A relaxed KLuCoO3 crystal. Source: OQMD via LeMat-Bulk, functional PBE+U.

Cell: 6.1996 6.1996 8.8483 Å, 90.00 90.00 147.96°
Last column: nearest neighbours and their distance in Å.
Sites, in units of the cell vectors:
K 0.2171 0.7829 0.7500  4 O 2.77-2.91
K 0.7829 0.2171 0.2500  4 O 2.77-2.91
Lu 0.5000 0.5000 0.0000  6 O 2.23-2.25
Lu 0.5000 0.5000 0.5000  6 O 2.23-2.25
Co 0.0598 0.9402 0.2500  4 O 1.90-2.05
Co 0.9402 0.0598 0.7500  4 O 1.90-2.05
O 0.1145 0.8855 0.0481  1 Co 1.90
O 0.1145 0.8855 0.4519  1 Co 1.90
O 0.4656 0.5344 0.2500  2 Co 2.05, 2 Lu 2.25
O 0.5344 0.4656 0.7500  2 Co 2.05, 2 Lu 2.25
O 0.8855 0.1145 0.5481  1 Co 1.90
O 0.8855 0.1145 0.9519  1 Co 1.90

## Properties
Space-group type: Cmcm, No. 63
Calculated total energy: -38.46 eV per formula unit